Material: Ag2MoIr
Method: DFT, GGA-PBE
State: relaxed

Energy relative to the elements   13.80 kJ per mole of atoms
Total moment   0.0000 μB/atom
E above lowest polymorph   0.015 eV/atom
Uncorrected energy   -6.206 eV per atom

```
4
Lattice="2.8596 0.0000 0.0000 0.0000 2.8596 0.0000 0.0000 0.0000 8.1323" Properties=species:S:1:pos:R:3 pbc="T T T"
Ag 0.0000 0.0000 0.0000
Ag 1.4298 1.4298 2.1434
Mo 1.4298 1.4298 5.9383
Ir 0.0000 0.0000 4.2854
```

Material: Ag2MoIr
Method: DFT, GGA-PBE
State: relaxed

Energy relative to the elements   22.93 kJ per mole of atoms
Total moment   0.0001 μB/atom
E above lowest polymorph   0.110 eV/atom
Uncorrected energy   -6.111 eV per atom

```
4
Lattice="2.8080 0.0000 0.0000 0.0000 3.9597 0.0000 -0.0188 0.0000 5.9331" Properties=species:S:1:pos:R:3 pbc="T T T"
Ag 0.0000 0.0000 0.0000
Ag 1.3869 1.9798 4.5057
Mo 1.3980 1.9798 1.7048
Ir 2.7972 0.0000 2.7995
```